Al2SbBr at its PBEsol-relaxed geometry, computed with meta-GGA SCAN.

Summary:
The energy relative to the elements, uncorrected comes out at 2 meV per atom. As for the relative energy among the computed polymorphs: 0 meV per atom. As for the crystal system: trigonal. Its space-group type is R-3m, No. 166.

abc: 4.1297 4.1297 7.0593
angles: 72.99 72.99 60.00
With the nearest neighbours (Å) after each atom.
Atoms (fractional coordinates):
Al (0.7400, 0.7400, 0.7801)  3 Sb 2.80, 3 Br 3.02
Al (0.2600, 0.2600, 0.2199)  3 Sb 2.80, 3 Br 3.02
Br (0.5000, 0.5000, 0.5000)  6 Al 3.02
Sb (0.0000, 0.0000, 0.0000)  6 Al 2.80

=====

ZrSb5 at its PBEsol-relaxed geometry, computed with meta-GGA SCAN.

Summary:
The energy relative to the elements, uncorrected comes out at 503 meV per atom. As for the relative energy among the computed polymorphs: 547 meV per atom. As for the crystal system: hexagonal. Its space-group type is P6/mmm, No. 191.

abc: 5.7258 5.8143 5.8143
angles: 120.00 90.00 90.00
With the nearest neighbours (Å) after each atom.
Atoms (fractional coordinates):
Sb (0.5000, 0.5000, 0.5000)  4 Sb 2.91
Sb (0.0000, 0.6667, 0.3333)  9 Sb 3.32-3.36, 3 Zr 3.36
Sb (0.5000, 0.5000, 0.0000)  4 Sb 2.91
Sb (0.5000, 0.0000, 0.5000)  4 Sb 2.91
Sb (0.0000, 0.3333, 0.6667)  9 Sb 3.32-3.36, 3 Zr 3.36
Zr (0.0000, 0.0000, 0.0000)  6 Sb 3.36

=====

Tm2OsRh at its PBEsol-relaxed geometry, computed with meta-GGA SCAN.

Summary:
As for the crystal system: cubic. Its space-group type is Fm-3m, No. 225.

abc: 4.6892 4.6892 4.6892
angles: 60.00 60.00 60.00
With the nearest neighbours (Å) after each atom.
Atoms (fractional coordinates):
Tm (0.7500, 0.7500, 0.7500)  4 Os 2.87, 4 Rh 2.87
Tm (0.2500, 0.2500, 0.2500)  4 Rh 2.87, 4 Os 2.87
Os (0.5000, 0.5000, 0.5000)  8 Tm 2.87
Rh (0.0000, 0.0000, 0.0000)  8 Tm 2.87

=====

Ca2Mg3Zn at its PBEsol-relaxed geometry, computed with meta-GGA SCAN.

Summary:
As for the relative energy among the computed polymorphs: 10 meV per atom. As for the crystal system: trigonal. Its space-group type is R-3m, No. 166.

abc: 5.9529 5.9529 5.9529
angles: 60.73 60.73 60.73
With the nearest neighbours (Å) after each atom.
Atoms (fractional coordinates):
Mg (0.5000, 0.0000, 0.5000)  2 Zn 2.98, 4 Mg 3.01
Mg (0.0000, 0.5000, 0.5000)  2 Zn 2.98, 4 Mg 3.01
Mg (0.5000, 0.5000, 0.0000)  2 Zn 2.98, 4 Mg 3.01
Ca (0.8735, 0.8735, 0.8735)  9 Mg 3.47-3.52, 3 Zn 3.52, 4 Ca 3.67
Ca (0.1265, 0.1265, 0.1265)  9 Mg 3.47-3.52, 3 Zn 3.52, 4 Ca 3.67
Zn (0.5000, 0.5000, 0.5000)  6 Mg 2.98

=====

AlH2Rh2 at its PBEsol-relaxed geometry, computed with meta-GGA SCAN.

Summary:
As for the crystal system: tetragonal. Its space-group type is I4/mmm, No. 139.

abc: 2.9493 2.9493 5.6783
angles: 105.05 105.05 90.00
With the nearest neighbours (Å) after each atom.
Atoms (fractional coordinates):
Al (0.0000, 0.0000, 0.0000)  8 Rh 2.56
Rh (0.3591, 0.3591, 0.7182)  4 H 1.87
Rh (0.6409, 0.6409, 0.2818)  4 H 1.87
H (0.7500, 0.2500, 0.5000)  4 Rh 1.87, 4 H 2.09
H (0.2500, 0.7500, 0.5000)  4 Rh 1.87, 4 H 2.09

=====

MnFe2Co at its PBEsol-relaxed geometry, computed with meta-GGA SCAN.

Summary:
As for the crystal system: tetragonal. Its space-group type is P4mm, No. 99.

abc: 2.7824 2.7824 5.5876
angles: 90.00 90.00 90.00
With the nearest neighbours (Å) after each atom.
Atoms (fractional coordinates):
Fe (0.5000, 0.5000, 0.2514)  4 Mn 2.40, 4 Fe 2.41
Fe (0.0000, 0.0000, 0.0010)  4 Co 2.41, 4 Fe 2.41
Co (0.5000, 0.5000, 0.7516)  4 Fe 2.41, 4 Mn 2.43
Mn (0.0000, 0.0000, 0.4960)  4 Fe 2.40, 4 Co 2.43

=====

CrRh3S at its PBEsol-relaxed geometry, computed with meta-GGA SCAN.

Summary:
The energy relative to the elements, uncorrected comes out at 165 meV per atom. As for the crystal system: cubic. Its space-group type is Pm-3m, No. 221.

abc: 4.2875 4.2875 4.2875
angles: 90.00 90.00 90.00
With the nearest neighbours (Å) after each atom.
Atoms (fractional coordinates):
S (0.0000, 0.0000, 0.0000)  6 Rh 2.14
Cr (0.5000, 0.5000, 0.5000)  12 Rh 3.03
Rh (0.0000, 0.0000, 0.5000)  2 S 2.14
Rh (0.5000, 0.0000, 0.0000)  2 S 2.14
Rh (0.0000, 0.5000, 0.0000)  2 S 2.14

=====

Al2FeBr at its PBEsol-relaxed geometry, computed with meta-GGA SCAN.

Summary:
The energy relative to the elements, uncorrected comes out at 342 meV per atom. As for the relative energy among the computed polymorphs: 228 meV per atom. As for the crystal system: tetragonal. Its space-group type is P4/mmm, No. 123.

abc: 2.8813 4.8337 4.8337
angles: 90.00 90.00 90.00
With the nearest neighbours (Å) after each atom.
Atoms (fractional coordinates):
Br (0.5000, 0.5000, 0.5000)  8 Al 2.81, 2 Br 2.88
Al (0.0000, 0.0000, 0.5000)  4 Br 2.81, 4 Fe 2.81, 2 Al 2.88
Al (0.0000, 0.5000, 0.0000)  4 Fe 2.81, 4 Br 2.81, 2 Al 2.88
Fe (0.5000, 0.0000, 0.0000)  8 Al 2.81, 2 Fe 2.88

=====

Ni5Pt at its PBEsol-relaxed geometry, computed with meta-GGA SCAN.

Summary:
As for the crystal system: tetragonal. Its space-group type is P4/mmm, No. 123.

abc: 2.5746 2.5746 10.1999
angles: 90.00 90.00 90.00
With the nearest neighbours (Å) after each atom.
Atoms (fractional coordinates):
Ni (0.0000, 0.0000, 0.8173)  8 Ni 2.44-2.57, 4 Pt 2.61
Ni (0.5000, 0.5000, 0.6583)  12 Ni 2.43-2.57
Ni (0.0000, 0.0000, 0.1827)  8 Ni 2.44-2.57, 4 Pt 2.61
Ni (0.0000, 0.0000, 0.5000)  12 Ni 2.43-2.57
Ni (0.5000, 0.5000, 0.3417)  12 Ni 2.43-2.57
Pt (0.5000, 0.5000, 0.0000)  4 Pt 2.57, 8 Ni 2.61

=====

Ta2CdPb at its PBEsol-relaxed geometry, computed with meta-GGA SCAN.

Summary:
As for the crystal system: monoclinic. Its space-group type is C2/m, No. 12.

abc: 2.9410 5.5824 5.5824
angles: 116.71 98.93 98.93
With the nearest neighbours (Å) after each atom.
Atoms (fractional coordinates):
Ta (0.0000, 0.5000, 0.0000)  4 Ta 2.93-2.94, 2 Pb 2.95, 2 Cd 2.95
Ta (0.0000, 0.0000, 0.5000)  4 Ta 2.93-2.94, 2 Cd 2.95, 2 Pb 2.95
Cd (0.5000, 0.0000, 0.0000)  2 Pb 2.93, 2 Cd 2.94, 4 Ta 2.95
Pb (0.5000, 0.5000, 0.5000)  2 Cd 2.93, 2 Pb 2.94, 4 Ta 2.95

=====

NiTePCl2 at its PBEsol-relaxed geometry, computed with meta-GGA SCAN.

Summary:
The energy relative to the elements, uncorrected comes out at 817 meV per atom. As for the crystal system: tetragonal. Its space-group type is P4/mmm, No. 123.

abc: 5.1944 5.1245 5.1245
angles: 90.00 90.00 90.00
With the nearest neighbours (Å) after each atom.
Atoms (fractional coordinates):
Te (0.0000, 0.0000, 0.0000)  4 Cl 2.56, 2 P 2.60
Cl (0.0000, 0.0000, 0.5000)  2 Te 2.56
Cl (0.0000, 0.5000, 0.0000)  2 Te 2.56
P (0.5000, 0.0000, 0.0000)  2 Te 2.60
Ni (0.5000, 0.5000, 0.5000)  4 P 3.62, 8 Cl 3.65

=====

RuCl3 at its PBEsol-relaxed geometry, computed with meta-GGA SCAN.

Summary:
The energy relative to the elements, uncorrected comes out at -679 meV per atom. As for the crystal system: hexagonal. Its space-group type is P6_3/mcm, No. 193.

abc: 5.5919 6.1269 6.1269
angles: 120.00 90.00 90.00
With the nearest neighbours (Å) after each atom.
Atoms (fractional coordinates):
Cl (0.2500, 0.3045, 0.3045)  2 Ru 2.33
Cl (0.7500, 0.3045, 0.0000)  2 Ru 2.33
Cl (0.2500, 0.0000, 0.6955)  2 Ru 2.33
Cl (0.7500, 0.6955, 0.6955)  2 Ru 2.33
Cl (0.2500, 0.6955, 0.0000)  2 Ru 2.33
Cl (0.7500, 0.0000, 0.3045)  2 Ru 2.33
Ru (0.0000, 0.0000, 0.0000)  6 Cl 2.33
Ru (0.5000, 0.0000, 0.0000)  6 Cl 2.33

=====

SrBi2Au2 at its PBEsol-relaxed geometry, computed with meta-GGA SCAN.

Summary:
As for the crystal system: tetragonal. Its space-group type is I4/mmm, No. 139.

abc: 4.6028 4.6028 7.2185
angles: 108.59 108.59 90.00
With the nearest neighbours (Å) after each atom.
Atoms (fractional coordinates):
Sr (0.0000, 0.0000, 0.0000)  8 Au 3.51
Au (0.3983, 0.3983, 0.7966)  1 Au 2.62
Au (0.6017, 0.6017, 0.2034)  1 Au 2.62
Bi (0.2500, 0.7500, 0.5000)  4 Au 2.99, 4 Bi 3.25
Bi (0.7500, 0.2500, 0.5000)  4 Au 2.99, 4 Bi 3.25

=====

What did we get for size of the total moment? Answer: 0.00 0.71 0.00 0.00 0.00 8.07 4.59 2.73 4.20 0.00 1.74 0.59 0.00 μB/cell, in the order shown.
What did we get for DFT total energy? Answer: -72.21 -213.98 -212.31 -48.70 -84.80 -72.10 -128.50 -51.72 -151.12 -237.50 -75.69 -122.95 -320.39 eV/cell, in the order shown.